Record 1
A plane-wave DFT calculation with GGA-PBE was carried out for a relaxed CsTlSnI4 crystal.

```
7
Lattice="6.2382 0.0000 0.0000 0.0000 6.2382 0.0000 -3.1191 -3.1191 9.2327" Properties=species:S:1:pos:R:3 pbc="T T T"
I 3.1191 3.1191 6.1946
Tl 0.0000 0.0000 6.6383
Cs 3.1191 3.1191 2.4950
Sn 3.1191 3.1191 9.2152
I 0.0000 0.0000 3.3442
I 0.0000 3.1191 9.1379
I 3.1191 0.0000 9.1379
```

Properties
Density ... 4454 kg/m³
Crystal system ... tetragonal
E_form (uncorrected) ... -814 meV per atom
Total magnetic moment ... 0.00 μB/f.u.

=====

Record 2
A plane-wave DFT calculation with GGA-PBE was carried out for a relaxed Cs2TlSnI5 crystal.

```
18
Lattice="4.9647 0.0000 0.0000 -2.4824 10.8432 0.0000 0.0000 0.0000 17.4778" Properties=species:S:1:pos:R:3 pbc="T T T"
Cs 0.0000 1.8871 11.3915
I 0.0000 8.0309 17.2204
I 0.0000 5.6878 11.4207
Cs 0.0000 3.0121 5.2177
I 0.0000 1.8170 1.2979
Tl 2.4824 0.8490 16.6524
Tl 0.0000 9.9942 7.9135
I 0.0000 6.5217 7.1766
I 2.4824 9.0263 10.0368
Cs 2.4824 7.8311 13.9565
Sn 0.0000 4.8627 0.5002
Sn 2.4824 5.9805 9.2391
I 2.4824 4.3215 15.9155
I 2.4824 5.1554 2.6818
I 0.0000 10.7585 13.4350
I 2.4824 2.8124 8.4815
I 2.4824 0.0847 4.6961
Cs 2.4824 8.9561 2.6526
```

Properties
Density ... 4318 kg/m³
Crystal system ... orthorhombic
E_form (uncorrected) ... -988 meV per atom
Total magnetic moment ... 0.00 μB/f.u.

=====

Record 3
A plane-wave DFT calculation with GGA-PBE was carried out for a relaxed CsTmSn2I8 crystal.

```
12
Lattice="-7.2540 2.4710 -0.1448 -3.7371 -5.8381 -4.4195 -4.3359 -6.7790 6.8390" Properties=species:S:1:pos:R:3 pbc="T T T"
I -4.7710 -5.4912 -1.5415
I -8.9892 -6.0506 -0.1908
Cs -2.1679 -3.3895 3.4195
Sn -7.1730 -3.7502 -0.7269
I -7.1172 -7.2422 5.8122
I -6.3379 -4.0956 2.4655
Sn -8.1540 -6.3960 3.0015
I -8.2908 -9.6918 1.9574
Tm 0.0000 0.0000 0.0000
I -7.0362 -0.4544 0.3172
I -10.5560 -4.6550 3.8161
I -8.2098 -2.9040 -3.5376
```

Properties
Density ... 4181 kg/m³
Crystal system ... triclinic
E_form (uncorrected) ... -912 meV per atom
Total magnetic moment ... 0.00 μB/f.u.

=====

Record 4
A plane-wave DFT calculation with GGA-PBE was carried out for a relaxed CsUSn2I8 crystal.

```
12
Lattice="-7.8483 1.1910 0.6677 -1.6488 -7.0160 -2.0176 -0.9074 -3.5837 9.6547" Properties=species:S:1:pos:R:3 pbc="T T T"
I -3.8224 -4.7215 9.1903
I -6.5821 -4.6871 -0.8856
U 0.0000 0.0000 0.0000
I -7.1966 -1.5205 2.0671
I -6.4108 -6.0925 3.3259
I -3.2079 -7.8882 6.2377
I -2.6009 -5.7459 0.6739
I -3.9937 -3.3161 4.9789
I -7.8036 -3.6628 7.6309
Sn -5.1318 -3.9798 1.7426
Cs -0.4537 -1.7918 4.8274
Sn -5.2727 -5.4288 6.5622
```

Properties
Density ... 4426 kg/m³
Crystal system ... triclinic
E_form (uncorrected) ... -732 meV per atom
Total magnetic moment ... 3.00 μB/f.u.

=====

Record 5
A plane-wave DFT calculation with GGA-PBE was carried out for a relaxed CsYSn2I8 crystal.

```
12
Lattice="-6.8065 3.7138 1.3052 -4.1768 -5.9544 -1.7263 -1.4191 -3.3812 9.6726" Properties=species:S:1:pos:R:3 pbc="T T T"
Y 0.0000 0.0000 0.0000
I -6.9593 0.9860 2.6228
I -7.8959 -2.1678 -0.2669
Sn -6.3171 -3.5142 7.0465
I -4.5375 -1.9281 5.3314
I -7.8649 -3.6936 3.9202
I -4.3681 -4.5705 0.9875
Cs -0.7096 -1.6906 4.8363
I -5.4431 -6.6077 6.6288
I -8.0343 -1.0512 8.2641
I -4.5065 -3.4539 9.5185
Sn -6.0853 -2.1075 2.2051
```

Properties
Density ... 4092 kg/m³
Crystal system ... triclinic
E_form (uncorrected) ... -923 meV per atom
Total magnetic moment ... 0.00 μB/f.u.

=====

Record 6
A plane-wave DFT calculation with GGA-PBE was carried out for a relaxed CsSrI3 crystal.

```
10
Lattice="-2.9114 1.2596 -5.9799 -1.1976 -6.6130 -0.8099 -14.1158 -1.2483 2.7782" Properties=species:S:1:pos:R:3 pbc="T T T"
I -11.4709 -3.2464 1.0696
I -6.3265 -5.3190 -3.7916
Sr -11.7227 -1.0743 -2.1816
I -12.0711 -6.5604 0.6638
I -6.7036 -2.1261 -1.0154
Sr -7.3590 -1.5911 -4.4149
I -11.5212 -4.4756 -2.9961
Cs -8.6840 -5.2690 -0.7132
Cs 0.0000 0.0000 0.0000
I -4.8675 -5.9502 -0.7949
```

Properties
Density ... 3198 kg/m³
Crystal system ... tetragonal
E_form (uncorrected) ... -1061 meV per atom
Total magnetic moment ... 0.23 μB/f.u.

=====

Record 7
A plane-wave DFT calculation with GGA-PBE was carried out for a relaxed CsSrI3 crystal.

```
10
Lattice="4.8620 -0.0004 -0.0003 0.0009 12.1320 0.0022 0.0023 -6.0678 8.6759" Properties=species:S:1:pos:R:3 pbc="T T T"
I 3.9495 4.9912 3.4017
I 3.9498 6.3676 7.7190
Cs 1.5234 2.6577 1.2129
I 1.5198 8.7128 4.2650
I 1.5214 2.6467 6.8571
I 3.9678 -1.0718 7.7124
Sr 1.5184 5.6788 5.5600
I 3.9684 0.3057 3.3953
Cs 3.9479 8.7359 1.2235
Sr 1.5380 -0.3838 5.5540
```

Properties
Density ... 3901 kg/m³
Crystal system ... triclinic
E_form (uncorrected) ... -1649 meV per atom
Total magnetic moment ... 0.00 μB/f.u.

=====

Record 8
A plane-wave DFT calculation with GGA-PBE was carried out for a relaxed CsSrI3 crystal.

```
10
Lattice="11.1070 -0.0002 -0.0004 0.0001 4.9080 0.0016 -0.5270 -2.4521 9.9101" Properties=species:S:1:pos:R:3 pbc="T T T"
I 9.7651 1.6392 9.1113
Sr 8.3839 1.6366 0.3847
I 6.2256 4.0908 1.0610
I 2.4738 -0.8132 9.0343
Cs 10.7738 -0.8124 6.1415
I 10.0611 1.6396 3.1310
Cs 1.9949 4.0914 2.0936
I 6.5401 -0.8133 7.1743
I 2.7052 1.6384 5.1036
Sr 4.3819 1.6412 7.8505
```

Properties
Density ... 3696 kg/m³
Crystal system ... triclinic
E_form (uncorrected) ... -1648 meV per atom
Total magnetic moment ... 0.00 μB/f.u.

=====

Record 9
A plane-wave DFT calculation with GGA-PBE was carried out for a relaxed Cs2SrI crystal.

```
8
Lattice="-3.7573 6.4058 -10.7783 0.1905 -11.2214 -6.7355 -5.2241 -2.9815 -7.8985" Properties=species:S:1:pos:R:3 pbc="T T T"
I 0.0000 0.0000 0.0000
Cs -7.0184 -7.6600 -21.9749
Sr -1.7834 -2.4078 -8.7569
Cs -4.0357 2.5465 -10.7154
Sr -3.4085 -8.3053 -11.6955
I -5.3824 0.5083 -13.7168
Cs -5.2762 -2.8317 -11.7651
Cs -1.2514 -7.6489 -6.3692
```

Properties
Density ... 2592 kg/m³
Polymorph energy (0 for the lowest one) ... 100 meV per atom
Crystal system ... tetragonal
E_form (uncorrected) ... -466 meV per atom
Total magnetic moment ... 0.01 μB/f.u.

=====

Record 10
A plane-wave DFT calculation with GGA-PBE was carried out for a relaxed CsSrI3 crystal.

```
10
Lattice="7.5016 0.0000 0.0000 0.0000 7.5016 0.0000 3.7508 3.7508 10.6327" Properties=species:S:1:pos:R:3 pbc="T T T"
Sr 0.0000 0.0000 0.0000
Sr 3.7508 7.5016 5.3163
I 3.7508 3.7508 4.4777
Cs 7.5016 3.7508 7.5156
I 5.5638 7.5016 2.4013
I 1.9378 7.5016 2.4013
I 3.7508 5.6886 8.2313
Cs 7.5016 3.7508 3.1170
I 3.7508 9.3145 8.2313
I 7.5016 7.5016 6.1550
```

Properties
Density ... 3337 kg/m³
Crystal system ... tetragonal
E_form (uncorrected) ... -1383 meV per atom
Total magnetic moment ... 0.00 μB/f.u.

=====

Record 11
A plane-wave DFT calculation with GGA-PBE was carried out for a relaxed CsSrI3 crystal.

```
10
Lattice="-1.7233 -9.5288 7.7184 4.9932 0.1740 -0.2998 0.1325 7.2831 6.3533" Properties=species:S:1:pos:R:3 pbc="T T T"
I 0.8829 -0.1144 5.8278
Sr 0.9702 1.7844 8.4296
I 3.5974 -0.3097 9.1761
I 1.3694 -2.0025 12.8526
I 1.0237 -5.0019 5.4522
I 3.3698 3.9028 7.8494
Cs 3.1938 0.3722 2.8324
Sr -1.3516 -7.2350 6.3646
I -1.1938 -6.3700 9.4873
Cs 1.1817 -3.3391 8.9973
```

Properties
Density ... 3458 kg/m³
Crystal system ... triclinic
E_form (uncorrected) ... -1631 meV per atom
Total magnetic moment ... 0.05 μB/f.u.

=====

Record 12
A plane-wave DFT calculation with GGA-PBE was carried out for a relaxed Cs3SrI6 crystal.

```
20
Lattice="-0.6261 -2.1989 -6.1535 9.9009 -10.0583 2.5869 -13.5119 -3.9449 2.7844" Properties=species:S:1:pos:R:3 pbc="T T T"
I -8.8519 -6.4573 -0.6326
Sr 4.2590 -9.8809 -0.7436
I -1.4085 -5.3928 -0.0189
Cs -4.9078 -7.4868 -0.6651
I 1.6540 -11.4104 0.0649
I 2.7212 -7.2717 -1.5226
Sr -8.2438 -5.4350 2.4413
I -5.6394 -3.9075 1.6274
Cs -2.7443 -1.8206 0.5888
Cs -5.1850 -11.2850 4.2192
Cs -1.2408 -13.4961 1.1065
I 7.5015 -10.7268 -0.7691
Cs 0.9232 -7.8282 2.3652
I -2.8891 -11.0218 -1.3583
Cs 1.1999 -4.0317 -2.5239
I -6.7066 -8.0461 3.2149
I -2.5766 -9.9222 1.7185
I -11.4860 -4.5878 2.4705
I -1.7211 -6.4924 -3.0956
I 4.8671 -8.8583 2.3311
```

Properties
Density ... 3382 kg/m³
Polymorph energy (0 for the lowest one) ... 0 meV per atom
Crystal system ... orthorhombic
E_form (uncorrected) ... -1393 meV per atom
Total magnetic moment ... 0.00 μB/f.u.

=====

Record 13
A plane-wave DFT calculation with GGA-PBE was carried out for a relaxed CsSrI3 crystal.

```
10
Lattice="11.8492 0.0000 0.0000 -1.8395 6.3172 0.0000 4.0336 -2.2976 7.1652" Properties=species:S:1:pos:R:3 pbc="T T T"
Sr 5.3858 3.3160 0.7035
I 11.3381 1.6511 0.6244
I 7.1993 0.4073 5.5278
Cs 14.0132 -1.0758 4.2467
Cs 4.5725 3.0705 6.5351
Sr 9.1492 0.9802 2.9183
I 3.1939 2.6407 2.9935
I 7.9292 4.0522 2.7823
I 11.3718 1.5854 5.2588
I 6.5992 0.2417 0.8465
```

Properties
Density ... 3723 kg/m³
Crystal system ... triclinic
E_form (uncorrected) ... -1625 meV per atom
Total magnetic moment ... 0.00 μB/f.u.

=====

Record 14
A plane-wave DFT calculation with GGA-PBE was carried out for a relaxed Cs5Sr3I12 crystal.

```
80
Lattice="-0.8103 15.7540 10.7577 -17.6198 -4.8331 -5.5459 7.6105 -14.2615 10.1619" Properties=species:S:1:pos:R:3 pbc="T T T"
Cs 3.8052 -7.1307 5.0809
Cs -14.0212 2.0519 4.4113
I 0.8915 7.6240 12.8273
Cs -9.2151 5.4605 2.6059
I -10.6769 -3.6943 11.5861
Sr -12.9726 8.3772 6.5238
Cs 0.0000 0.0000 0.0000
Sr 0.4489 -2.0137 5.8069
I -3.6976 0.7023 0.5706
I -8.4809 -15.6459 5.1271
Cs -5.0047 -9.5473 2.3080
Sr -6.2639 8.2204 7.2588
I -11.5970 -4.9595 -2.2668
I -0.1428 0.3537 3.7875
Sr -9.4136 -0.6783 3.1084
Cs -6.0136 0.0679 13.5682
I -3.5380 3.3688 11.9468
Cs 3.4001 0.7463 10.4598
I -9.9568 -7.5706 9.0046
I -2.5392 -3.0434 5.5976
Sr -1.0089 9.6152 11.2602
I -4.6120 2.0514 7.7431
I -2.5543 -6.6449 2.5584
I 6.0239 -7.9301 12.2687
Cs -3.7575 2.9168 3.9179
I -3.1582 -10.3724 5.5330
Cs 3.8489 -1.2674 16.2667
I -0.8102 -5.5134 11.0210
I -6.4328 -0.6086 4.1773
Cs -7.0621 -6.2574 11.4557
I -12.1780 6.2584 8.7400
I -6.8679 5.5906 5.6000
I -11.6025 -6.8501 4.8415
I -6.5163 11.1703 8.3844
I -8.2805 -0.2972 9.7760
Sr -2.0575 3.2899 9.1478
I -7.1221 -4.0429 14.8030
I -12.5033 -1.3456 2.9063
I -0.8628 4.2300 6.3690
I -16.8435 4.5895 3.1050
I -4.3034 -14.5108 6.9892
Sr -9.8108 -12.9558 4.1134
I -2.3387 12.3053 10.2465
Sr 2.1529 -11.7178 8.8499
I -3.9518 -8.9312 9.7737
I -7.2817 -6.7093 3.4269
Cs -4.8061 -3.4085 1.8055
Sr -11.2685 -1.3269 9.5667
I -7.6615 7.0318 9.8407
Cs -5.4098 -1.6703 7.6868
Cs -0.4052 7.8770 5.3788
I -6.2077 -5.3920 7.6305
I -11.7112 -10.9646 2.5463
I 0.7829 3.5096 10.5322
Sr -4.5558 -11.5610 8.1149
I -12.5724 6.2374 4.2230
I 3.6007 -5.1725 15.3720
Cs -2.0535 -6.7873 6.9609
I -8.2653 3.3043 12.8152
I 1.7528 -9.5780 11.1506
I -14.4203 1.8319 0.0017
I -10.0095 2.1728 4.3527
I 1.4353 -4.8025 6.9392
Cs -0.3574 3.6630 14.3777
Cs -8.7662 3.4468 8.4128
I 1.3583 -9.5990 6.6336
I 1.6837 -1.9950 12.4673
I -2.1108 -0.4086 14.3763
Cs 3.2015 -5.3925 10.9623
I -12.2549 1.4619 8.4344
Sr -1.4060 -2.6623 12.2652
I -4.3868 -2.7320 11.1964
I 3.7580 2.0552 14.0164
I -8.7088 -2.9320 0.9973
Sr -8.7622 -6.6305 6.2259
Cs -8.8099 -2.4166 -2.7730
Cs -14.6686 -2.0732 -0.8930
Cs -10.4622 -7.0036 0.9960
I 0.7773 1.6189 17.6404
I -14.5777 -5.3957 1.3572
```

Properties
Density ... 3037 kg/m³
Crystal system ... cubic
E_form (uncorrected) ... -1389 meV per atom
Total magnetic moment ... 0.06 μB/f.u.

=====

Record 15
A plane-wave DFT calculation with GGA-PBE was carried out for a relaxed CsSr2I crystal.

```
4
Lattice="0.0927 -5.1668 -4.6457 -5.7581 -3.7018 -1.1948 -3.3842 0.6883 -6.0299" Properties=species:S:1:pos:R:3 pbc="T T T"
Cs -4.5248 -4.0901 -5.9352
Sr -2.2624 -2.0451 -2.9676
I 0.0000 0.0000 0.0000
Sr -6.7872 -6.1352 -8.9029
```

Properties
Density ... 3045 kg/m³
Polymorph energy (0 for the lowest one) ... 132 meV per atom
Crystal system ... cubic
E_form (uncorrected) ... -106 meV per atom
Total magnetic moment ... 0.00 μB/f.u.

=====

Record 16
A plane-wave DFT calculation with GGA-PBE was carried out for a relaxed CsSrI3 crystal.

```
10
Lattice="4.5838 -11.9394 0.0000 4.5838 11.9394 0.0000 0.0000 0.0000 8.1199" Properties=species:S:1:pos:R:3 pbc="T T T"
I 6.7322 4.3626 6.0899
Cs 4.5838 -4.6271 6.0899
Sr 4.5838 -9.5494 6.0899
Sr 4.5838 9.5494 2.0300
I 2.4355 4.3626 6.0899
I 2.4355 -4.3626 2.0300
I 6.7322 -4.3626 2.0300
Cs 4.5838 4.6271 2.0300
I 0.0000 0.0000 0.0000
I 0.0000 0.0000 4.0599
```

Properties
Density ... 2247 kg/m³
Crystal system ... orthorhombic
E_form (uncorrected) ... -1460 meV per atom
Total magnetic moment ... 0.00 μB/f.u.

=====

Record 17
A plane-wave DFT calculation with GGA-PBE was carried out for a relaxed CsSrI3 crystal.

```
10
Lattice="3.9188 -10.4763 0.0000 3.9188 10.4763 0.0000 0.0000 0.0000 8.6066" Properties=species:S:1:pos:R:3 pbc="T T T"
I 0.0000 0.0000 4.3033
I 0.0000 0.0000 0.0000
I 1.8456 -4.0494 6.4549
I 5.9919 -4.0494 6.4549
Sr 3.9188 1.9184 2.1516
Sr 3.9188 -1.9184 6.4549
I 1.8456 4.0494 2.1516
Cs 3.9188 -7.2342 6.4549
Cs 3.9188 7.2342 2.1516
I 5.9919 4.0494 2.1516
```

Properties
Density ... 2826 kg/m³
Crystal system ... orthorhombic
E_form (uncorrected) ... -1120 meV per atom
Total magnetic moment ... 0.00 μB/f.u.

=====

Record 18
A plane-wave DFT calculation with GGA-PBE was carried out for a relaxed CsSr4I8 crystal.

```
13
Lattice="-4.8414 -0.1713 0.1834 -2.7002 -3.5404 -10.5161 -1.9106 -12.0892 2.3421" Properties=species:S:1:pos:R:3 pbc="T T T"
Sr -4.8515 -8.2113 -7.5968
I -7.1631 -9.2195 -5.4859
Sr -4.6355 -6.8104 -0.5854
I -2.1026 -7.6458 1.4247
Sr -2.4943 -3.4746 -5.0187
I -4.5553 -10.0273 -1.4738
I -7.3841 -7.3814 -9.6046
Sr -6.9921 -11.5532 -3.1536
Cs -7.0504 -15.2501 -8.1457
I -4.9106 -1.9344 -3.2930
I -4.9315 -4.9957 -6.7033
I -2.3235 -5.8274 -2.7071
I -4.5759 -13.0968 -4.8861
```

Properties
Density ... 3794 kg/m³
Polymorph energy (0 for the lowest one) ... 0 meV per atom
Crystal system ... monoclinic
E_form (uncorrected) ... -1560 meV per atom
Total magnetic moment ... 0.00 μB/f.u.